Arrangement a

This record from the Alexandria database describes a relaxed structure of La2AlOsW. The functional is PBE-GGA.

```
data_La2AlOsW
_chemical_formula_sum 'La2 Al1 Os1 W1'
_cell_length_a 5.608
_cell_length_b 5.608
_cell_length_c 4.771
_cell_angle_alpha 90.00
_cell_angle_beta 90.00
_cell_angle_gamma 90.00
_space_group_name_H-M_alt 'P 4/m m m'
_space_group_IT_number 123
_space_group_name_Hall '-P 4 2'
loop_
_atom_site_label
_atom_site_type_symbol
_atom_site_fract_x
_atom_site_fract_y
_atom_site_fract_z
La1 La 0.000 0.500 0.000
Al1 Al 0.000 0.000 0.500
Os1 Os 0.500 0.500 0.000
W1 W 0.500 0.500 0.500
```

Arrangement b

This record from the Alexandria database describes a relaxed structure of La2AlOsW. The functional is PBE-GGA.

```
data_La2AlOsW
_chemical_formula_sum 'La2 Al1 Os1 W1'
_cell_length_a 5.350
_cell_length_b 5.350
_cell_length_c 4.790
_cell_angle_alpha 90.00
_cell_angle_beta 90.00
_cell_angle_gamma 90.00
_space_group_name_H-M_alt 'P 4/m m m'
_space_group_IT_number 123
_space_group_name_Hall '-P 4 2'
loop_
_atom_site_label
_atom_site_type_symbol
_atom_site_fract_x
_atom_site_fract_y
_atom_site_fract_z
La1 La 0.000 0.500 0.000
Al1 Al 0.000 0.000 0.500
Os1 Os 0.500 0.500 0.500
W1 W 0.000 0.000 0.000
```

Most favorable structure: arrangement a. The second most favorable one is 59.4 kJ/mol of atoms above it.

Arrangement a

This record from the Alexandria database describes a relaxed structure of LaAlPS2. The functional is PBE-GGA.

```
data_LaAlPS2
_chemical_formula_sum 'La1 Al1 P1 S2'
_cell_length_a 4.721
_cell_length_b 4.721
_cell_length_c 4.663
_cell_angle_alpha 90.00
_cell_angle_beta 90.00
_cell_angle_gamma 90.00
_space_group_name_H-M_alt 'P 4/m m m'
_space_group_IT_number 123
_space_group_name_Hall '-P 4 2'
loop_
_atom_site_label
_atom_site_type_symbol
_atom_site_fract_x
_atom_site_fract_y
_atom_site_fract_z
La1 La 0.000 0.000 0.000
Al1 Al 0.500 0.500 0.500
P1 P 0.500 0.500 0.000
S1 S 0.000 0.500 0.500
```

Arrangement b

This record from the Alexandria database describes a relaxed structure of LaAlPS2. The functional is PBE-GGA.

```
data_LaAlPS2
_chemical_formula_sum 'La1 Al1 P1 S2'
_cell_length_a 5.513
_cell_length_b 5.513
_cell_length_c 5.807
_cell_angle_alpha 90.00
_cell_angle_beta 90.00
_cell_angle_gamma 90.00
_space_group_name_H-M_alt 'P 4/m m m'
_space_group_IT_number 123
_space_group_name_Hall '-P 4 2'
loop_
_atom_site_label
_atom_site_type_symbol
_atom_site_fract_x
_atom_site_fract_y
_atom_site_fract_z
La1 La 0.000 0.000 0.000
Al1 Al 0.500 0.500 0.500
P1 P 0.000 0.000 0.500
S1 S 0.000 0.500 0.000
```

Most favorable structure: arrangement a. The second most favorable one is 105.7 kJ/mol of atoms above it.